# KMn2Os (GGA-PBE, relaxed)
data_KMn2Os
_chemical_formula_sum 'K2 Mn4 Os2'
_symmetry_space_group_name_H-M 'I m m 2'
_symmetry_Int_Tables_number 44
_cell_length_a 2.7889
_cell_length_b 5.0439
_cell_length_c 10.6595
_cell_angle_alpha 90.00
_cell_angle_beta 90.00
_cell_angle_gamma 90.00
loop_
_symmetry_equiv_pos_as_xyz
'x,y,z'
'-x,-y,z'
'-x,y,z'
'x,-y,z'
'x+1/2,y+1/2,z+1/2'
'-x+1/2,-y+1/2,z+1/2'
'-x+1/2,y+1/2,z+1/2'
'x+1/2,-y+1/2,z+1/2'
loop_
_atom_site_label
_atom_site_type_symbol
_atom_site_fract_x
_atom_site_fract_y
_atom_site_fract_z
_atom_site_occupancy
K1 K 0.0000 0.0000 0.0000 1
Mn1 Mn 0.0000 0.0000 0.4590 1
Mn2 Mn 0.0000 0.5000 0.2089 1
Os1 Os 0.0000 0.5000 0.7702 1
# Electronic total energy (eV per atom): -6.5707
# Fermi-level density of states (states/eV/cell): 10.446
# DFT formation energy (eV/atom): 1.096